KHfCuTe2Se: optimized geometry, PBE.

Lattice parameters (Å, degrees): 8.719 4.062 10.327 90.00 111.58 90.00
Sites, in units of the cell vectors:
Se (0.226, 0.750, 0.554)
Se (0.774, 0.250, 0.446)
Hf (0.703, 0.250, 0.178)
Hf (0.297, 0.750, 0.822)
K (0.734, 0.750, 0.685)
K (0.266, 0.250, 0.315)
Cu (0.917, 0.750, 0.399)
Cu (0.083, 0.250, 0.601)
Te (0.080, 0.250, 0.854)
Te (0.447, 0.750, 0.137)
Te (0.553, 0.250, 0.863)
Te (0.920, 0.750, 0.146)

***

KHfCuTe2Se: optimized geometry, PBE.

Lattice parameters (Å, degrees): 8.065 8.065 10.423 90.00 90.00 150.92
Sites, in units of the cell vectors:
Cu (0.469, 0.531, 0.250)
Cu (0.531, 0.469, 0.750)
Te (0.629, 0.371, 0.548)
Te (0.629, 0.371, 0.952)
Te (0.371, 0.629, 0.452)
Te (0.371, 0.629, 0.048)
Hf (0.000, 0.000, 0.500)
Hf (0.000, 0.000, 0.000)
Se (0.059, 0.941, 0.250)
Se (0.941, 0.059, 0.750)
K (0.260, 0.740, 0.750)
K (0.740, 0.260, 0.250)

***

KHfCu3Te4: optimized geometry, PBE.

Lattice parameters (Å, degrees): 6.193 8.203 10.566 90.00 106.79 90.00
Sites, in units of the cell vectors:
Cu (0.211, 0.489, 0.002)
Cu (0.789, 0.511, 0.998)
Cu (0.160, 0.250, 0.812)
Cu (0.840, 0.750, 0.188)
Cu (0.211, 0.011, 0.002)
Cu (0.789, 0.989, 0.998)
Te (0.531, 0.250, 0.027)
Te (0.268, 0.250, 0.583)
Te (0.469, 0.750, 0.973)
Te (0.103, 0.480, 0.227)
Te (0.897, 0.980, 0.773)
Te (0.732, 0.750, 0.417)
Te (0.897, 0.520, 0.773)
Te (0.103, 0.020, 0.227)
Hf (0.643, 0.250, 0.790)
Hf (0.357, 0.750, 0.210)
K (0.685, 0.250, 0.393)
K (0.315, 0.750, 0.607)

***

KHfCu3Te4: optimized geometry, PBE.

Lattice parameters (Å, degrees): 6.582 6.582 6.582 90.00 90.00 90.00
Sites, in units of the cell vectors:
Te (0.267, 0.733, 0.733)
Te (0.267, 0.267, 0.267)
Te (0.733, 0.733, 0.267)
Te (0.733, 0.267, 0.733)
Cu (0.500, 0.000, 0.500)
Cu (0.500, 0.500, 0.000)
Cu (0.000, 0.500, 0.500)
Hf (0.500, 0.500, 0.500)
K (0.000, 0.000, 0.000)

***

no.,E_tot (eV/cell)
1,-59.425
2,-59.477
3,-78.389
4,-38.116